Here is Mg2TlIr after structural relaxation from Alexandria. Energies are from PBE.

Geometry as CIF:
```
data_Mg2TlIr
_chemical_formula_sum 'Mg4 Tl2 Ir2'
_cell_length_a 4.1375
_cell_length_b 4.1375
_cell_length_c 8.5272
_cell_angle_alpha 90.00
_cell_angle_beta 90.00
_cell_angle_gamma 90.00
_space_group_name_H-M_alt 'I -4 m 2'
_space_group_IT_number 119
_space_group_name_Hall 'I -4 -2'
loop_
_atom_site_label
_atom_site_fract_x
_atom_site_fract_y
_atom_site_fract_z
Mg1 0.0000 0.0000 0.0000
Mg2 0.0000 0.5000 0.2500
Tl1 0.0000 0.0000 0.5000
Ir1 0.0000 0.5000 0.7500
```

As for the density of states at the Fermi level: 1.4 states/eV/f.u. The calculated total energy is -3.702 eV per atom.